Compound: NaCaZn2Ge2
Source: Alexandria via LeMat-Bulk
Functional: PBE
Structure: optimized geometry

The space group is P-3m1 (No. 164) and the conventional cell measures 4.3295, 4.3295 and 8.0113 Å, with angles of 90.00, 90.00 and 120.00 degrees. Symmetry generates all atoms from Na at (0.0000, 0.0000, 0.0000), Ca at (0.0000, 0.0000, 0.5000), Zn at (0.3333, 0.6667, 0.7564) and Ge at (0.3333, 0.6667, 0.2596).

The electronic total energy comes out at -16.83 eV per formula unit. As for the density of states at the Fermi level: 0.521 states/eV per atom. Its crystal system is trigonal. Its calculated formation energy is -0.288 eV/atom. As for the mass density: 4331 kg/m3.